(1)
# Ho2TmSi (PBE, optimized geometry)
# Crystal system: trigonal
# Density in g cm⁻³: 7.57
# Symmetry: R-3m
# Raw formation energy in eV per atom: 0.0382
data_Ho2TmSi
_chemical_formula_sum 'Ho6 Tm3 Si3'
_cell_length_a 3.529
_cell_length_b 3.529
_cell_length_c 32.135
_cell_angle_alpha 90.00
_cell_angle_beta 90.00
_cell_angle_gamma 120.00
_symmetry_space_group_name_H-M 'P 1'
_symmetry_Int_Tables_number 1
loop_
_symmetry_equiv_pos_as_xyz
'x,y,z'
loop_
_atom_site_label
_atom_site_fract_x
_atom_site_fract_y
_atom_site_fract_z
Ho1 0.000 0.000 0.106
Ho2 0.000 0.000 0.894
Ho3 0.333 0.667 0.561
Ho4 0.333 0.667 0.772
Ho5 0.667 0.333 0.228
Ho6 0.667 0.333 0.439
Tm1 0.000 0.000 0.000
Tm2 0.333 0.667 0.667
Tm3 0.667 0.333 0.333
Si1 0.000 0.000 0.500
Si2 0.333 0.667 0.167
Si3 0.667 0.333 0.833

---

(2)
# SiHO2 (PBE, optimized geometry)
# Crystal system: trigonal
# Density in g cm⁻³: 2.48
# Offset from the most stable computed form in eV/atom: 0.284
# Symmetry: R-3m
data_SiHO2
_chemical_formula_sum 'Si3 H3 O6'
_cell_length_a 2.685
_cell_length_b 2.685
_cell_length_c 19.644
_cell_angle_alpha 90.00
_cell_angle_beta 90.00
_cell_angle_gamma 120.00
_symmetry_space_group_name_H-M 'P 1'
_symmetry_Int_Tables_number 1
loop_
_symmetry_equiv_pos_as_xyz
'x,y,z'
loop_
_atom_site_label
_atom_site_fract_x
_atom_site_fract_y
_atom_site_fract_z
Si1 0.000 0.000 0.000
Si2 0.333 0.667 0.667
Si3 0.667 0.333 0.333
H1 0.000 0.000 0.500
H2 0.333 0.667 0.167
H3 0.667 0.333 0.833
O1 0.000 0.000 0.380
O2 0.000 0.000 0.620
O3 0.333 0.667 0.046
O4 0.333 0.667 0.287
O5 0.667 0.333 0.713
O6 0.667 0.333 0.954

---

(3)
# CsSbO3 (PBE, optimized geometry)
# Crystal system: triclinic
# Density in g cm⁻³: 4.70
# Symmetry: P-1
# Raw formation energy in eV per atom: -1.5053
data_CsSbO3
_chemical_formula_sum 'Cs2 Sb2 O6'
_cell_length_a 5.483
_cell_length_b 6.709
_cell_length_c 6.748
_cell_angle_alpha 119.79
_cell_angle_beta 95.98
_cell_angle_gamma 90.10
_symmetry_space_group_name_H-M 'P 1'
_symmetry_Int_Tables_number 1
loop_
_symmetry_equiv_pos_as_xyz
'x,y,z'
loop_
_atom_site_label
_atom_site_fract_x
_atom_site_fract_y
_atom_site_fract_z
Cs1 0.243 0.167 0.333
Cs2 0.757 0.833 0.667
Sb1 0.000 0.500 0.000
Sb2 0.500 0.500 0.000
O1 0.232 0.238 0.869
O2 0.233 0.631 0.869
O3 0.286 0.631 0.262
O4 0.714 0.369 0.738
O5 0.767 0.369 0.131
O6 0.768 0.762 0.131

---

(4)
# La2Sm3HoSe6 (PBE, optimized geometry)
# Crystal system: monoclinic
# Density in g cm⁻³: 7.22
# Symmetry: C2/m
# Raw formation energy in eV per atom: -1.8587
data_La2Sm3HoSe6
_chemical_formula_sum 'La2 Sm3 Ho1 Se6'
_cell_length_a 9.376
_cell_length_b 9.376
_cell_length_c 8.449
_cell_angle_alpha 102.77
_cell_angle_beta 102.77
_cell_angle_gamma 25.79
_symmetry_space_group_name_H-M 'P 1'
_symmetry_Int_Tables_number 1
loop_
_symmetry_equiv_pos_as_xyz
'x,y,z'
loop_
_atom_site_label
_atom_site_fract_x
_atom_site_fract_y
_atom_site_fract_z
La1 0.167 0.167 0.334
La2 0.833 0.833 0.666
Sm1 0.170 0.170 0.835
Sm2 0.500 0.500 0.500
Sm3 0.830 0.830 0.165
Ho1 0.500 0.500 0.000
Se1 0.004 0.004 0.760
Se2 0.336 0.336 0.411
Se3 0.338 0.338 0.925
Se4 0.662 0.662 0.075
Se5 0.664 0.664 0.589
Se6 0.996 0.996 0.240

---

(5)
# In4Sb (PBE, optimized geometry)
# Crystal system: cubic
# Density in g cm⁻³: 5.53
# Offset from the most stable computed form in eV/atom: 0.133
# Symmetry: Im-3m
# Raw formation energy in eV per atom: 0.2663
data_In4Sb
_chemical_formula_sum 'In8 Sb2'
_cell_length_a 7.042
_cell_length_b 7.042
_cell_length_c 7.042
_cell_angle_alpha 90.00
_cell_angle_beta 90.00
_cell_angle_gamma 90.00
_symmetry_space_group_name_H-M 'P 1'
_symmetry_Int_Tables_number 1
loop_
_symmetry_equiv_pos_as_xyz
'x,y,z'
loop_
_atom_site_label
_atom_site_fract_x
_atom_site_fract_y
_atom_site_fract_z
In1 0.250 0.250 0.250
In2 0.250 0.250 0.750
In3 0.250 0.750 0.250
In4 0.250 0.750 0.750
In5 0.750 0.250 0.250
In6 0.750 0.250 0.750
In7 0.750 0.750 0.250
In8 0.750 0.750 0.750
Sb1 0.000 0.000 0.000
Sb2 0.500 0.500 0.500

---

(6)
# ScFeSi2 (PBE, optimized geometry)
# Crystal system: tetragonal
# Density in g cm⁻³: 4.46
# Symmetry: I-4m2
# Raw formation energy in eV per atom: -0.2626
data_ScFeSi2
_chemical_formula_sum 'Sc2 Fe2 Si4'
_cell_length_a 3.747
_cell_length_b 3.747
_cell_length_c 8.326
_cell_angle_alpha 90.00
_cell_angle_beta 90.00
_cell_angle_gamma 90.00
_symmetry_space_group_name_H-M 'P 1'
_symmetry_Int_Tables_number 1
loop_
_symmetry_equiv_pos_as_xyz
'x,y,z'
loop_
_atom_site_label
_atom_site_fract_x
_atom_site_fract_y
_atom_site_fract_z
Sc1 0.000 0.000 0.000
Sc2 0.500 0.500 0.500
Fe1 0.000 0.500 0.250
Fe2 0.500 0.000 0.750
Si1 0.000 0.000 0.500
Si2 0.000 0.500 0.750
Si3 0.500 0.000 0.250
Si4 0.500 0.500 0.000

---

What did the second record say?
# SiHO2 (PBE, optimized geometry)
# Crystal system: trigonal
# Density in g cm⁻³: 2.48
# Offset from the most stable computed form in eV/atom: 0.284
# Symmetry: R-3m
data_SiHO2
_chemical_formula_sum 'Si3 H3 O6'
_cell_length_a 2.685
_cell_length_b 2.685
_cell_length_c 19.644
_cell_angle_alpha 90.00
_cell_angle_beta 90.00
_cell_angle_gamma 120.00
_symmetry_space_group_name_H-M 'P 1'
_symmetry_Int_Tables_number 1
loop_
_symmetry_equiv_pos_as_xyz
'x,y,z'
loop_
_atom_site_label
_atom_site_fract_x
_atom_site_fract_y
_atom_site_fract_z
Si1 0.000 0.000 0.000
Si2 0.333 0.667 0.667
Si3 0.667 0.333 0.333
H1 0.000 0.000 0.500
H2 0.333 0.667 0.167
H3 0.667 0.333 0.833
O1 0.000 0.000 0.380
O2 0.000 0.000 0.620
O3 0.333 0.667 0.046
O4 0.333 0.667 0.287
O5 0.667 0.333 0.713
O6 0.667 0.333 0.954

---

Among the records above, which one has the highest density?
Ho2TmSi

---

Among the records above, which one has the highest density?
Ho2TmSi